Record 1
A plane-wave DFT calculation with GGA-PBE was carried out for a relaxed structure of ZnSb4Pb. Values from VASP.

```
&SYSTEM
  ibrav = 0, nat = 6, ntyp = 3
/
ATOMIC_SPECIES
Zn 65.41 Zn.upf
Sb 121.76 Sb.upf
Pb 207.20 Pb.upf
CELL_PARAMETERS angstrom
-0.646 -5.926 -2.059
-4.369 -3.766 2.551
-5.090 -1.640 -3.343
ATOMIC_POSITIONS crystal
Zn 0.750 0.750 0.750
Sb 0.874 0.375 0.375
Sb 0.375 0.375 0.874
Sb 0.375 0.874 0.375
Sb 0.375 0.375 0.375
Pb 0.000 0.000 0.000
```

* magnetic moment: 0.00 μB per formula unit
* formation energy from raw total energies: 1.8 eV/f.u.
* E: -19.7 eV/cell
* SG: F-43m, No. 216

***

Record 2
A plane-wave DFT calculation with GGA-PBE was carried out for a relaxed structure of YZrTc2. Values from VASP.

```
&SYSTEM
  ibrav = 0, nat = 4, ntyp = 3
/
ATOMIC_SPECIES
Tc 98.00 Tc.upf
Y 88.91 Y.upf
Zr 91.22 Zr.upf
CELL_PARAMETERS angstrom
3.054 0.004 0.000
-1.162 2.825 0.000
0.000 0.000 8.807
ATOMIC_POSITIONS crystal
Tc 0.000 0.000 0.989
Tc 0.000 0.000 0.511
Y 0.500 0.500 0.250
Zr 0.500 0.500 0.750
```

* magnetic moment: 0.00 μB per formula unit
* energy of formation from the pure elements: 11.4 kJ/mol of atoms
* E: -35.3 eV/cell
* SG: Cmmm, No. 65

***

Record 3
A plane-wave DFT calculation with GGA-PBE was carried out for a relaxed structure of HfSc3Zn8. Values from VASP.

```
&SYSTEM
  ibrav = 0, nat = 12, ntyp = 3
/
ATOMIC_SPECIES
Hf 178.49 Hf.upf
Sc 44.96 Sc.upf
Zn 65.41 Zn.upf
CELL_PARAMETERS angstrom
5.265 0.000 0.000
-2.633 4.560 0.000
0.000 0.000 8.426
ATOMIC_POSITIONS crystal
Hf 0.000 0.000 0.562
Sc 0.667 0.333 0.440
Sc 0.667 0.333 0.062
Sc 0.000 0.000 0.935
Zn 0.333 0.667 0.500
Zn 0.333 0.667 0.002
Zn 0.504 0.008 0.748
Zn 0.504 0.496 0.748
Zn 0.992 0.496 0.748
Zn 0.162 0.324 0.251
Zn 0.162 0.838 0.251
Zn 0.676 0.838 0.251
```

* magnetic moment: 1.16 μB per formula unit
* energy of formation from the pure elements: -28.0 kJ/mol of atoms
* E: -42.6 eV/cell
* SG: P3m1, No. 156